[1]
ZnHgPb2 PBE-GGA optimized geometry; density of states at the Fermi level = 1.86 states/eV per cell; VASP energy = -8.6 eV per formula unit; total magnetic moment = 0.000 Bohr magnetons per cell
1.0
4.366 0.000 0.000
0.000 3.560 0.305
0.000 1.677 7.001
Zn Pb Hg
1 2 1
Direct
0.500 0.250 0.250 Zn
0.000 0.053 0.017 Pb
0.000 0.447 0.483 Pb
0.500 0.750 0.750 Hg


[2]
ZnHgPb2 PBE-GGA optimized geometry; density of states at the Fermi level = 1.89 states/eV per cell; VASP energy = -8.6 eV per formula unit; total magnetic moment = 0.000 Bohr magnetons per cell
1.0
3.445 0.000 0.000
0.000 3.445 0.000
0.000 0.000 8.883
Zn Hg Pb
1 1 2
Direct
0.500 0.500 0.250 Zn
0.500 0.500 0.750 Hg
0.000 0.000 0.028 Pb
0.000 0.000 0.472 Pb


[3]
ZnHg2Pb PBE-GGA optimized geometry; density of states at the Fermi level = 1.83 states/eV per cell; VASP energy = -5.2 eV per formula unit; total magnetic moment = 0.000 Bohr magnetons per cell
1.0
3.482 0.000 0.000
0.000 3.507 0.000
0.000 0.000 8.117
Zn Hg Pb
1 2 1
Direct
0.500 0.500 0.771 Zn
0.000 0.000 0.970 Hg
0.500 0.500 0.233 Hg
0.000 0.000 0.526 Pb


[4]
ZnHg2Pb PBE-GGA optimized geometry; density of states at the Fermi level = 1.67 states/eV per cell; VASP energy = -5.3 eV per formula unit; total magnetic moment = 0.000 Bohr magnetons per cell
1.0
3.525 0.000 0.000
1.762 3.053 0.000
1.762 1.018 9.292
Hg Zn Pb
2 1 1
Direct
0.262 0.262 0.213 Hg
0.071 0.071 0.787 Hg
0.666 0.666 0.001 Zn
0.500 0.500 0.499 Pb


[5]
Zn4HgPb PBE-GGA optimized geometry; density of states at the Fermi level = 3.90 states/eV per cell; VASP energy = -8.4 eV per formula unit; total magnetic moment = 0.000 Bohr magnetons per cell
1.0
0.000 3.906 3.906
3.906 0.000 3.906
3.906 3.906 0.000
Zn Hg Pb
4 1 1
Direct
0.375 0.375 0.375 Zn
0.375 0.874 0.375 Zn
0.874 0.375 0.375 Zn
0.375 0.375 0.874 Zn
0.750 0.750 0.750 Hg
0.000 0.000 0.000 Pb


[6]
ZnHgPb2 PBE-GGA optimized geometry; density of states at the Fermi level = 2.03 states/eV per cell; VASP energy = -8.5 eV per formula unit; total magnetic moment = 0.000 Bohr magnetons per cell
1.0
9.248 -0.207 -0.122
8.577 3.465 -0.122
8.577 1.568 3.093
Zn Pb Hg
1 2 1
Direct
0.750 0.750 0.750 Zn
0.006 0.006 0.006 Pb
0.494 0.494 0.494 Pb
0.250 0.250 0.250 Hg


[7]
ZnHgPb2 PBE-GGA optimized geometry; density of states at the Fermi level = 1.56 states/eV per cell; VASP energy = -8.5 eV per formula unit; total magnetic moment = 0.000 Bohr magnetons per cell
1.0
6.032 0.278 0.000
2.349 5.562 0.000
-4.191 -2.920 3.220
Zn Pb Hg
1 2 1
Direct
0.500 0.500 0.000 Zn
0.250 0.750 0.500 Pb
0.000 0.000 0.000 Pb
0.750 0.250 0.500 Hg


[8]
ZnHg2Pb PBE-GGA optimized geometry; density of states at the Fermi level = 3.64 states/eV per cell; VASP energy = -5.1 eV per formula unit; total magnetic moment = 0.000 Bohr magnetons per cell
1.0
4.323 0.000 0.000
0.000 4.323 0.000
2.162 2.162 11.171
Hg Pb Zn
4 2 2
Direct
0.375 0.386 0.750 Hg
0.875 0.864 0.750 Hg
0.136 0.625 0.250 Hg
0.614 0.125 0.250 Hg
0.000 0.000 0.000 Pb
0.750 0.250 0.500 Pb
0.500 0.500 0.000 Zn
0.250 0.750 0.500 Zn


[9]
ZnHgPb2 PBE-GGA optimized geometry; density of states at the Fermi level = 1.33 states/eV per cell; VASP energy = -8.4 eV per formula unit; total magnetic moment = 0.000 Bohr magnetons per cell
1.0
3.662 0.000 0.000
0.000 5.605 0.000
0.000 0.000 5.291
Zn Pb Hg
1 2 1
Direct
0.500 0.000 0.500 Zn
0.500 0.500 0.000 Pb
0.000 0.000 0.000 Pb
0.000 0.500 0.500 Hg


[10]
ZrHgPb PBE-GGA optimized geometry; density of states at the Fermi level = 1.40 states/eV per cell; VASP energy = -12.5 eV per formula unit; total magnetic moment = 0.000 Bohr magnetons per cell
1.0
-1.278 -0.384 6.966
-3.461 -2.481 5.494
2.207 -2.219 1.239
Hg Zr Pb
1 1 1
Direct
0.009 0.009 0.991 Hg
0.662 0.662 0.338 Zr
0.330 0.330 0.670 Pb


[11]
Zr3Hg2Pb PBE-GGA optimized geometry; density of states at the Fermi level = 5.26 states/eV per cell; VASP energy = -31.0 eV per formula unit; total magnetic moment = 0.000 Bohr magnetons per cell
1.0
4.313 0.000 0.000
0.000 4.303 -1.455
0.000 0.034 7.190
Zr Hg Pb
3 2 1
Direct
0.500 0.832 0.664 Zr
0.500 0.500 0.000 Zr
0.500 0.168 0.336 Zr
0.000 0.671 0.342 Hg
0.000 0.329 0.658 Hg
0.000 0.000 0.000 Pb


[12]
Zr12Hg3Pb PBE-GGA optimized geometry; density of states at the Fermi level = 15.06 states/eV per cell; VASP energy = -109.5 eV per formula unit; total magnetic moment = 0.000 Bohr magnetons per cell
1.0
-3.111 1.365 -2.896
2.762 -0.898 -3.390
-6.460 -16.577 -0.873
Hg Zr Pb
3 12 1
Direct
0.000 0.000 0.252 Hg
0.000 0.000 0.500 Hg
0.000 0.000 0.748 Hg
0.000 0.500 0.624 Zr
0.500 0.000 0.376 Zr
0.000 0.500 0.127 Zr
0.500 0.500 0.500 Zr
0.500 0.000 0.873 Zr
0.500 0.500 0.252 Zr
0.000 0.500 0.873 Zr
0.500 0.500 0.000 Zr
0.000 0.500 0.376 Zr
0.500 0.500 0.748 Zr
0.500 0.000 0.127 Zr
0.500 0.000 0.624 Zr
0.000 0.000 0.000 Pb


What is the density of states at the Fermi level in the sixth record?
2.03 states/eV per cell


Number 10 is which compound?
ZrHgPb